--- a ---
# LiCrS2N | the Alexandria database | PBE | optimized geometry
# - Magnetic moment: 0.25 μB/f.u.
# - N(E_F): 5.3 states/eV per cell
# - Calculated volume: 12.92 Å³/atom
data_LiCrS2N
_chemical_formula_sum 'Li1 Cr1 S2 N1'
_symmetry_space_group_name_H-M 'P 1'
_symmetry_Int_Tables_number 1
_cell_length_a 4.3704
_cell_length_b 4.3704
_cell_length_c 3.3817
_cell_angle_alpha 90.00
_cell_angle_beta 90.00
_cell_angle_gamma 90.00
loop_
_symmetry_equiv_pos_as_xyz
'x,y,z'
loop_
_atom_site_label
_atom_site_type_symbol
_atom_site_fract_x
_atom_site_fract_y
_atom_site_fract_z
Cr1 Cr 0.5000 0.5000 0.5000
S1 S 0.0000 0.5000 0.0000
S2 S 0.5000 0.0000 0.0000
Li1 Li 0.0000 0.0000 0.0000
N1 N 0.0000 0.0000 0.5000


--- b ---
# LiCrS2N | the Alexandria database | PBE | optimized geometry
# - Magnetic moment: 0.00 μB/f.u.
# - N(E_F): 4.4 states/eV per cell
# - Calculated volume: 15.40 Å³/atom
data_LiCrS2N
_chemical_formula_sum 'Li1 Cr1 S2 N1'
_symmetry_space_group_name_H-M 'P 1'
_symmetry_Int_Tables_number 1
_cell_length_a 4.6724
_cell_length_b 4.6724
_cell_length_c 3.5281
_cell_angle_alpha 90.00
_cell_angle_beta 90.00
_cell_angle_gamma 90.00
loop_
_symmetry_equiv_pos_as_xyz
'x,y,z'
loop_
_atom_site_label
_atom_site_type_symbol
_atom_site_fract_x
_atom_site_fract_y
_atom_site_fract_z
Cr1 Cr 0.0000 0.0000 0.0000
S1 S 0.0000 0.5000 0.0000
S2 S 0.5000 0.0000 0.0000
Li1 Li 0.5000 0.5000 0.5000
N1 N 0.0000 0.0000 0.5000


Which of them is most stable? Easy: b.


--- a ---
# LiCrSN2 | the Alexandria database | PBE | optimized geometry
# - Magnetic moment: 1.79 μB/f.u.
# - N(E_F): 3.4 states/eV per cell
# - Calculated volume: 11.95 Å³/atom
data_LiCrSN2
_chemical_formula_sum 'Li1 Cr1 S1 N2'
_symmetry_space_group_name_H-M 'P 1'
_symmetry_Int_Tables_number 1
_cell_length_a 3.5702
_cell_length_b 3.5702
_cell_length_c 4.6860
_cell_angle_alpha 90.00
_cell_angle_beta 90.00
_cell_angle_gamma 90.00
loop_
_symmetry_equiv_pos_as_xyz
'x,y,z'
loop_
_atom_site_label
_atom_site_type_symbol
_atom_site_fract_x
_atom_site_fract_y
_atom_site_fract_z
Cr1 Cr 0.5000 0.5000 0.5000
S1 S 0.0000 0.0000 0.5000
Li1 Li 0.0000 0.0000 0.0000
N1 N 0.0000 0.5000 0.0000
N2 N 0.5000 0.0000 0.0000


--- b ---
# LiCrSN2 | the Alexandria database | PBE | optimized geometry
# - Magnetic moment: 0.47 μB/f.u.
# - N(E_F): 1.4 states/eV per cell
# - Calculated volume: 12.92 Å³/atom
data_LiCrSN2
_chemical_formula_sum 'Li1 Cr1 S1 N2'
_symmetry_space_group_name_H-M 'P 1'
_symmetry_Int_Tables_number 1
_cell_length_a 3.6204
_cell_length_b 3.6204
_cell_length_c 4.9279
_cell_angle_alpha 90.00
_cell_angle_beta 90.00
_cell_angle_gamma 90.00
loop_
_symmetry_equiv_pos_as_xyz
'x,y,z'
loop_
_atom_site_label
_atom_site_type_symbol
_atom_site_fract_x
_atom_site_fract_y
_atom_site_fract_z
Cr1 Cr 0.0000 0.0000 0.0000
S1 S 0.0000 0.0000 0.5000
Li1 Li 0.5000 0.5000 0.5000
N1 N 0.0000 0.5000 0.0000
N2 N 0.5000 0.0000 0.0000


Which of them is most stable? Easy: b.


--- a ---
# Li2CrSbN | the Alexandria database | PBE | optimized geometry
# - Magnetic moment: 3.03 μB/f.u.
# - N(E_F): 3.2 states/eV per cell
# - Calculated volume: 20.83 Å³/atom
data_Li2CrSbN
_chemical_formula_sum 'Li2 Cr1 Sb1 N1'
_symmetry_space_group_name_H-M 'P 1'
_symmetry_Int_Tables_number 1
_cell_length_a 5.4414
_cell_length_b 3.5174
_cell_length_c 5.4414
_cell_angle_alpha 90.00
_cell_angle_beta 90.00
_cell_angle_gamma 90.00
loop_
_symmetry_equiv_pos_as_xyz
'x,y,z'
loop_
_atom_site_label
_atom_site_type_symbol
_atom_site_fract_x
_atom_site_fract_y
_atom_site_fract_z
Sb1 Sb 0.5000 0.5000 0.5000
N1 N 0.0000 0.5000 0.0000
Li1 Li 0.0000 0.0000 0.5000
Li2 Li 0.5000 0.0000 0.0000
Cr1 Cr 0.0000 0.0000 0.0000


--- b ---
# Li2CrSbN | the Alexandria database | PBE | optimized geometry
# - Magnetic moment: 2.00 μB/f.u.
# - N(E_F): 1.5 states/eV per cell
# - Calculated volume: 13.54 Å³/atom
data_Li2CrSbN
_chemical_formula_sum 'Li2 Cr1 Sb1 N1'
_symmetry_space_group_name_H-M 'P 1'
_symmetry_Int_Tables_number 1
_cell_length_a 4.2327
_cell_length_b 4.2327
_cell_length_c 3.7791
_cell_angle_alpha 90.00
_cell_angle_beta 90.00
_cell_angle_gamma 90.00
loop_
_symmetry_equiv_pos_as_xyz
'x,y,z'
loop_
_atom_site_label
_atom_site_type_symbol
_atom_site_fract_x
_atom_site_fract_y
_atom_site_fract_z
Sb1 Sb 0.5000 0.5000 0.5000
N1 N 0.0000 0.0000 0.0000
Li1 Li 0.0000 0.5000 0.0000
Li2 Li 0.5000 0.0000 0.0000
Cr1 Cr 0.0000 0.0000 0.5000


Which of them is most stable? Easy: b.